{"formula": "Sm3DyMg3", "functional": "PBE-GGA", "state": "optimized geometry", "formation_energy_mev_per_atom": 72, "spacegroup": "No. 65", "lattice_angstrom": [[7.7991, -0.2082, -0.0019], [-0.1904, 7.7996, -0.0019], [0.0002, 0.0002, 7.0277]], "species": ["Sm", "Sm", "Sm", "Sm", "Mg", "Sm", "Mg", "Mg", "Sm", "Dy", "Mg", "Mg", "Mg", "Dy"], "fractional_positions": [[0.0000, 0.0000, 0.2462], [0.9999, 0.5001, 0.2535], [0.0000, 0.0000, 0.7538], [0.4999, 0.0001, 0.7465], [0.7237, 0.7237, 0.5000], [0.5001, 0.9999, 0.2535], [0.2560, 0.7440, 0.0000], [0.6753, 0.3247, 0.5000], [0.0001, 0.4999, 0.7465], [0.3125, 0.3125, 0.0003], [0.3247, 0.6753, 0.5000], [0.7440, 0.2560, 0.0000], [0.2763, 0.2763, 0.5000], [0.6875, 0.6875, 0.9997]]}